1.
# PBE-GGA Co2TeRu, relaxed
data_Co2TeRu
_chemical_formula_sum 'Co2 Te1 Ru1'
_cell_length_a 3.230
_cell_length_b 3.230
_cell_length_c 5.636
_cell_angle_alpha 90.00
_cell_angle_beta 90.00
_cell_angle_gamma 90.00
_symmetry_space_group_name_H-M 'P 4 m m'
_symmetry_Int_Tables_number 99
loop_
_symmetry_equiv_pos_as_xyz
'x,y,z'
'-y,x,z'
'-x,-y,z'
'y,-x,z'
'-x,y,z'
'y,x,z'
'x,-y,z'
'-y,-x,z'
loop_
_atom_site_label
_atom_site_type_symbol
_atom_site_fract_x
_atom_site_fract_y
_atom_site_fract_z
_atom_site_occupancy
Co1 Co 0.000 0.000 0.000 1
Co2 Co 0.500 0.500 0.178 1
Te1 Te 0.500 0.500 0.712 1
Ru1 Ru 0.000 0.000 0.451 1
# Formation energy (no corrections) (meV/atom): 368
# Volume (A^3/atom): 14.7
# Mass density (Mg/m³): 9.78

***

2.
# PBE-GGA CoTeRu, relaxed
data_CoTeRu
_chemical_formula_sum 'Co1 Te1 Ru1'
_cell_length_a 4.1729
_cell_length_b 4.1729
_cell_length_c 3.0949
_cell_angle_alpha 90.00
_cell_angle_beta 90.00
_cell_angle_gamma 120.00
_symmetry_space_group_name_H-M 'P 3 m 1'
_symmetry_Int_Tables_number 156
loop_
_symmetry_equiv_pos_as_xyz
'x,y,z'
'-y,x-y,z'
'-x+y,-x,z'
'-y,-x,z'
'-x+y,y,z'
'x,x-y,z'
loop_
_atom_site_label
_atom_site_type_symbol
_atom_site_fract_x
_atom_site_fract_y
_atom_site_fract_z
_atom_site_occupancy
Co1 Co 0.0000 0.0000 0.0000 1
Te1 Te 0.3333 0.6667 0.8880 1
Ru1 Ru 0.6667 0.3333 0.4909 1
# Formation energy (no corrections) (meV/atom): 420
# Volume (A^3/atom): 15.6
# Mass density (Mg/m³): 10.23

***

3.
# PBE-GGA CoTeRu, relaxed
data_CoTeRu
_chemical_formula_sum 'Co2 Te2 Ru2'
_cell_length_a 3.8213
_cell_length_b 3.8213
_cell_length_c 8.4982
_cell_angle_alpha 90.00
_cell_angle_beta 90.00
_cell_angle_gamma 120.00
_symmetry_space_group_name_H-M 'P -6 m 2'
_symmetry_Int_Tables_number 187
_symmetry_space_group_name_Hall 'P -6 2'
loop_
_atom_site_label
_atom_site_type_symbol
_atom_site_fract_x
_atom_site_fract_y
_atom_site_fract_z
_atom_site_occupancy
Co1 Co 0.0000 0.0000 0.0000 1
Co2 Co 0.3333 0.6667 0.5000 1
Te1 Te 0.0000 0.0000 0.3161 1
Ru1 Ru 0.3333 0.6667 0.1504 1
# Formation energy (no corrections) (meV/atom): 365
# Volume (A^3/atom): 17.9
# Mass density (Mg/m³): 8.89